Crystalline KNi2Se at its relaxed geometry. Source: the Alexandria database, functional GGA-PBE.

Computed properties:
The energy comes out at -4.116 eV/atom. As for the space group: Pm.

Cell and atoms, written as POSCAR:
```
KNi2Se
1.0
4.0745 0.0000 0.0000
0.0000 4.0553 0.0000
-0.1744 0.0000 5.6062
K Ni Se
1 2 1
Cartesian
0.0000 0.0000 0.0000
0.0465 2.0277 2.8892
1.9081 0.0000 2.8905
2.0854 2.0277 1.9508
```